USbSe: relaxed, PBE-GGA.

```
USbSe
1.0
4.1736 0.0000 0.0000
0.0000 4.1736 0.0000
-2.0868 -2.0868 8.6560
U Sb Se
2 2 2
direct
0.3518 0.3518 0.7035
0.6482 0.6482 0.2965
0.0000 0.5000 0.0000
0.5000 0.0000 0.0000
0.1832 0.1832 0.3664
0.8168 0.8168 0.6336
```

Results
density: 9.7 g cm⁻³
spin magnetization: 5.4 μB per cell
formation energy without anion corrections: -761 meV/atom